No. 1
TlGaAu2 after structural relaxation, computed with GGA-PBE.

Lattice parameters (Å, degrees): 4.8179 4.8179 17.0016 90.00 90.00 90.00
Atoms (fractional coordinates):
1 Tl 0.0000 0.0000 0.0000
2 Tl 0.0000 0.5000 0.2500
3 Tl 0.5000 0.0000 0.7500
4 Tl 0.5000 0.5000 0.5000
5 Ga 0.0000 0.0000 0.5000
6 Ga 0.0000 0.5000 0.7500
7 Ga 0.5000 0.0000 0.2500
8 Ga 0.5000 0.5000 0.0000
9 Au 0.1784 0.2500 0.6250
10 Au 0.2500 0.6784 0.8750
11 Au 0.2500 0.8216 0.3750
12 Au 0.3216 0.2500 0.1250
13 Au 0.6784 0.7500 0.1250
14 Au 0.7500 0.1784 0.3750
15 Au 0.7500 0.3216 0.8750
16 Au 0.8216 0.7500 0.6250

Values from the calculation:
Calculated formation energy   0.011 eV per atom
Total moment   0.0000 μB/atom

---

No. 2
Ta4MnW after structural relaxation, computed with GGA-PBE.

Lattice parameters (Å, degrees): 7.5608 4.3571 7.4497 90.00 109.84 90.00
Atoms (fractional coordinates):
1 Ta 0.1198 0.0000 0.3592
2 Ta 0.1292 0.5000 0.8878
3 Ta 0.3708 0.0000 0.1122
4 Ta 0.3802 0.5000 0.6408
5 Ta 0.6198 0.5000 0.3592
6 Ta 0.6292 0.0000 0.8878
7 Ta 0.8708 0.5000 0.1122
8 Ta 0.8802 0.0000 0.6408
9 Mn 0.0000 0.0000 0.0000
10 Mn 0.5000 0.5000 0.0000
11 W 0.0000 0.5000 0.5000
12 W 0.5000 0.0000 0.5000

Values from the calculation:
Calculated formation energy   0.503 eV per atom
Offset from the most stable computed form   0.604 eV per atom
Total moment   0.0000 μB/atom

---

No. 3
Sr2AsRh after structural relaxation, computed with GGA-PBE.

Lattice parameters (Å, degrees): 4.3852 4.3852 6.2201 90.00 90.00 90.00
Atoms (fractional coordinates):
1 Sr 0.0000 0.0000 0.0000
2 Sr 0.5000 0.5000 0.4976
3 As 0.0000 0.0000 0.5003
4 Rh 0.5000 0.5000 0.9965

Values from the calculation:
Calculated formation energy   -0.158 eV per atom
Total moment   0.1229 μB/atom